Entry from Alexandria: a geometry-optimized SiSbI3 structure (PBE).

**E_form (uncorrected)**: 2.97 eV/f.u.
**Space group**: Pm-3m

a b c (Å): 6.019 6.019 6.019
angles (deg): 90.00 90.00 90.00
Sites, in units of the cell vectors:
I 0.000 0.500 0.000
I 0.000 0.000 0.500
Sb 0.000 0.000 0.000
I 0.500 0.000 0.000
Si 0.500 0.500 0.500